1.
DFT (PBE) results for an optimized crystal structure of Dy9Y11Tm4.

Cell: 15.0760 15.0760 3.6639 Å, 90.00 90.00 112.99°
Sites, in units of the cell vectors:
Dy  0.0000  0.0000  0.0000
Dy  0.1309  0.6648  0.0000
Dy  0.2851  0.4299  0.0000
Dy  0.3352  0.8691  0.0000
Dy  0.4299  0.2851  0.0000
Dy  0.5701  0.7149  0.0000
Dy  0.6648  0.1309  0.0000
Dy  0.7149  0.5701  0.0000
Dy  0.8691  0.3352  0.0000
Y  0.0934  0.4549  0.5000
Y  0.1320  0.8680  0.5000
Y  0.2068  0.2068  0.5000
Y  0.3403  0.6597  0.5000
Y  0.4549  0.0934  0.5000
Y  0.5000  0.5000  0.5000
Y  0.5451  0.9066  0.5000
Y  0.6597  0.3403  0.5000
Y  0.7932  0.7932  0.5000
Y  0.8680  0.1320  0.5000
Y  0.9066  0.5451  0.5000
Tm  0.0540  0.2562  0.0000
Tm  0.2562  0.0540  0.0000
Tm  0.7438  0.9460  0.0000
Tm  0.9460  0.7438  0.0000

- Electronic total energy: -129.29 eV/f.u.
- Spin magnetization: 0.014 Bohr magnetons per cell
- E_form: 1.1 kcal/mol of atoms

2.
DFT (PBE) results for an optimized crystal structure of Dy2YTm12.

Cell: 6.6061 6.6061 23.6124 Å, 93.61 93.61 115.51°
Sites, in units of the cell vectors:
Dy  0.2038  0.2038  0.2150
Dy  0.2849  0.2849  0.7880
Dy  0.7151  0.7151  0.2120
Dy  0.7962  0.7962  0.7850
Y  0.2536  0.2536  0.5213
Y  0.7464  0.7464  0.4787
Tm  0.0116  0.4985  0.7003
Tm  0.0312  0.0312  0.3619
Tm  0.0945  0.0945  0.9282
Tm  0.1008  0.6022  0.9436
Tm  0.1515  0.5910  0.4345
Tm  0.1999  0.6896  0.1752
Tm  0.3104  0.8001  0.8248
Tm  0.3978  0.8992  0.0564
Tm  0.4061  0.4061  0.0730
Tm  0.4090  0.8485  0.5655
Tm  0.4870  0.4870  0.6572
Tm  0.4985  0.0116  0.7003
Tm  0.5015  0.9884  0.2997
Tm  0.5130  0.5130  0.3428
Tm  0.5910  0.1515  0.4345
Tm  0.5939  0.5939  0.9270
Tm  0.6022  0.1008  0.9436
Tm  0.6896  0.1999  0.1752
Tm  0.8001  0.3104  0.8248
Tm  0.8485  0.4090  0.5655
Tm  0.8992  0.3978  0.0564
Tm  0.9055  0.9055  0.0718
Tm  0.9688  0.9688  0.6381
Tm  0.9884  0.5015  0.2997

- Electronic total energy: -67.92 eV/f.u.
- Spin magnetization: 0.000 Bohr magnetons per cell
- E_form: 2.2 kcal/mol of atoms

3.
DFT (PBE) results for an optimized crystal structure of Dy2Y5Tm.

Cell: 6.6257 8.8337 9.5134 Å, 88.37 85.45 67.98°
Sites, in units of the cell vectors:
Dy  0.1267  0.1057  0.0757
Dy  0.2328  0.8943  0.5754
Dy  0.7672  0.1057  0.4246
Dy  0.8733  0.8943  0.9243
Y  0.1555  0.6881  0.2503
Y  0.2001  0.2455  0.3876
Y  0.2035  0.4930  0.9116
Y  0.3043  0.4928  0.5890
Y  0.4462  0.7545  0.8868
Y  0.5538  0.2455  0.1132
Y  0.6957  0.5072  0.4110
Y  0.7965  0.5070  0.0884
Y  0.7999  0.7545  0.6124
Y  0.8445  0.3119  0.7497
Tm  0.4377  0.1248  0.7503
Tm  0.5623  0.8752  0.2497

- Electronic total energy: -44.75 eV/f.u.
- Spin magnetization: 0.000 Bohr magnetons per cell
- E_form: 3.6 kcal/mol of atoms
- Offset from the most stable computed form: 1.06 eV/f.u.

4.
DFT (PBE) results for an optimized crystal structure of DyY12Tm7.

Cell: 10.9399 10.9399 10.9399 Å, 115.99 115.99 115.99°
Sites, in units of the cell vectors:
Dy  0.0000  0.0000  0.0000
Y  0.0818  0.2917  0.4996
Y  0.2005  0.7456  0.2685
Y  0.2544  0.7315  0.7995
Y  0.2685  0.2005  0.7456
Y  0.2917  0.4996  0.0818
Y  0.4996  0.0818  0.2917
Y  0.5004  0.9182  0.7083
Y  0.7083  0.5004  0.9182
Y  0.7315  0.7995  0.2544
Y  0.7456  0.2685  0.2005
Y  0.7995  0.2544  0.7315
Y  0.9182  0.7083  0.5004
Tm  0.0669  0.3676  0.2022
Tm  0.2022  0.0669  0.3676
Tm  0.3676  0.2022  0.0669
Tm  0.5000  0.5000  0.5000
Tm  0.6324  0.7978  0.9331
Tm  0.7978  0.9331  0.6324
Tm  0.9331  0.6324  0.7978

- Electronic total energy: -106.72 eV/f.u.
- Spin magnetization: 0.000 Bohr magnetons per cell
- E_form: 7.8 kcal/mol of atoms
- Offset from the most stable computed form: 0.91 eV/f.u.

5.
DFT (PBE) results for an optimized crystal structure of Dy2YTm.

Cell: 5.6468 5.6468 5.6468 Å, 60.00 60.00 60.00°
Sites, in units of the cell vectors:
Dy  0.2500  0.2500  0.2500
Dy  0.7500  0.7500  0.7500
Y  0.0000  0.0000  0.0000
Tm  0.5000  0.5000  0.5000

- Electronic total energy: -19.59 eV/f.u.
- Spin magnetization: 0.003 Bohr magnetons per cell
- E_form: 3.2 kcal/mol of atoms
- Offset from the most stable computed form: 0.50 eV/f.u.

6.
DFT (PBE) results for an optimized crystal structure of Dy7YTm12.

Cell: 9.6298 9.6298 9.6298 Å, 109.47 109.47 109.47°
Sites, in units of the cell vectors:
Dy  0.0000  0.0000  0.5000
Dy  0.0000  0.5000  0.0000
Dy  0.0000  0.5000  0.5000
Dy  0.5000  0.0000  0.0000
Dy  0.5000  0.0000  0.5000
Dy  0.5000  0.5000  0.0000
Dy  0.5000  0.5000  0.5000
Y  0.0000  0.0000  0.0000
Tm  0.0000  0.2508  0.7492
Tm  0.0000  0.7492  0.2508
Tm  0.2508  0.0000  0.7492
Tm  0.2508  0.2508  0.5015
Tm  0.2508  0.5015  0.2508
Tm  0.2508  0.7492  0.0000
Tm  0.4985  0.7492  0.7492
Tm  0.5015  0.2508  0.2508
Tm  0.7492  0.0000  0.2508
Tm  0.7492  0.2508  0.0000
Tm  0.7492  0.4985  0.7492
Tm  0.7492  0.7492  0.4985

- Electronic total energy: -77.58 eV/f.u.
- Spin magnetization: 0.000 Bohr magnetons per cell
- E_form: 17.0 kcal/mol of atoms
- Offset from the most stable computed form: 8.47 eV/f.u.

7.
DFT (PBE) results for an optimized crystal structure of Dy4Y11Tm9.

Cell: 15.0039 15.0039 3.6539 Å, 90.00 90.00 112.92°
Sites, in units of the cell vectors:
Dy  0.0539  0.2557  0.0000
Dy  0.2557  0.0539  0.0000
Dy  0.7443  0.9461  0.0000
Dy  0.9461  0.7443  0.0000
Y  0.0938  0.4555  0.5000
Y  0.1329  0.8671  0.5000
Y  0.2080  0.2080  0.5000
Y  0.3405  0.6595  0.5000
Y  0.4555  0.0938  0.5000
Y  0.5000  0.5000  0.5000
Y  0.5445  0.9062  0.5000
Y  0.6595  0.3405  0.5000
Y  0.7920  0.7920  0.5000
Y  0.8671  0.1329  0.5000
Y  0.9062  0.5445  0.5000
Tm  0.0000  0.0000  0.0000
Tm  0.1320  0.6646  0.0000
Tm  0.2860  0.4304  0.0000
Tm  0.3354  0.8680  0.0000
Tm  0.4304  0.2860  0.0000
Tm  0.5696  0.7140  0.0000
Tm  0.6646  0.1320  0.0000
Tm  0.7140  0.5696  0.0000
Tm  0.8680  0.3354  0.0000

- Electronic total energy: -128.52 eV/f.u.
- Spin magnetization: 0.954 Bohr magnetons per cell
- E_form: 1.2 kcal/mol of atoms

8.
DFT (PBE) results for an optimized crystal structure of Dy9YTm2.

Cell: 5.0017 5.0017 15.0038 Å, 90.00 90.00 90.00°
Sites, in units of the cell vectors:
Dy  0.0000  0.0000  0.0000
Dy  0.0000  0.0000  0.3342
Dy  0.0000  0.0000  0.6658
Dy  0.0000  0.5000  0.1681
Dy  0.0000  0.5000  0.5000
Dy  0.0000  0.5000  0.8319
Dy  0.5000  0.0000  0.1681
Dy  0.5000  0.0000  0.5000
Dy  0.5000  0.0000  0.8319
Y  0.5000  0.5000  0.0000
Tm  0.5000  0.5000  0.3339
Tm  0.5000  0.5000  0.6661

- Electronic total energy: -56.56 eV/f.u.
- Spin magnetization: 0.000 Bohr magnetons per cell
- E_form: 0.5 kcal/mol of atoms
- Offset from the most stable computed form: 0.00 eV/f.u.

9.
DFT (PBE) results for an optimized crystal structure of Dy5Y3Tm3.

Cell: 11.0555 11.0555 3.4259 Å, 90.00 90.00 120.00°
Sites, in units of the cell vectors:
Dy  0.0000  0.8405  0.0000
Dy  0.1595  0.1595  0.0000
Dy  0.3333  0.6667  0.0000
Dy  0.6667  0.3333  0.0000
Dy  0.8405  0.0000  0.0000
Y  0.0000  0.3417  0.0000
Y  0.3417  0.0000  0.0000
Y  0.6583  0.6583  0.0000
Tm  0.0000  0.5951  0.5000
Tm  0.4049  0.4049  0.5000
Tm  0.5951  0.0000  0.5000

- Electronic total energy: -51.89 eV/f.u.
- Spin magnetization: 0.000 Bohr magnetons per cell
- E_form: 8.2 kcal/mol of atoms

10.
DFT (PBE) results for an optimized crystal structure of Dy3YTm8.

Cell: 8.5165 8.5165 8.5165 Å, 136.19 98.39 97.61°
Sites, in units of the cell vectors:
Dy  0.0000  0.0000  0.0000
Dy  0.2499  0.7499  0.5000
Dy  0.7501  0.2501  0.5000
Y  0.5000  0.5000  0.0000
Tm  0.0814  0.2499  0.8316
Tm  0.2493  0.2499  0.4992
Tm  0.2493  0.7501  0.9994
Tm  0.4183  0.2499  0.1684
Tm  0.5817  0.7501  0.8316
Tm  0.7507  0.2499  0.0006
Tm  0.7507  0.7501  0.5008
Tm  0.9186  0.7501  0.1684

- Electronic total energy: -52.10 eV/f.u.
- Spin magnetization: 0.000 Bohr magnetons per cell
- E_form: 7.6 kcal/mol of atoms

11.
DFT (PBE) results for an optimized crystal structure of Dy3Y3Tm.

Cell: 14.5543 14.5543 14.5543 Å, 24.49 24.49 24.49°
Sites, in units of the cell vectors:
Dy  0.1330  0.4640  0.8016
Dy  0.1984  0.8670  0.5360
Dy  0.4640  0.8016  0.1330
Dy  0.5360  0.1984  0.8670
Dy  0.8016  0.1330  0.4640
Dy  0.8670  0.5360  0.1984
Y  0.0658  0.7324  0.3998
Y  0.2676  0.6002  0.9342
Y  0.3998  0.0658  0.7324
Y  0.6002  0.9342  0.2676
Y  0.7324  0.3998  0.0658
Y  0.9342  0.2676  0.6002
Tm  0.3333  0.3333  0.3333
Tm  0.6667  0.6667  0.6667

- Electronic total energy: -36.64 eV/f.u.
- Spin magnetization: 0.001 Bohr magnetons per cell
- E_form: 3.4 kcal/mol of atoms
- Offset from the most stable computed form: 0.00 eV/f.u.

12.
DFT (PBE) results for an optimized crystal structure of Dy3Y3Tm.

Cell: 6.3067 6.3067 6.3067 Å, 102.62 102.62 102.62°
Sites, in units of the cell vectors:
Dy  0.0628  0.4686  0.4686
Dy  0.4686  0.0628  0.4686
Dy  0.4686  0.4686  0.0628
Y  0.0245  0.0245  0.6728
Y  0.0245  0.6728  0.0245
Y  0.6728  0.0245  0.0245
Tm  0.6094  0.6094  0.6094

- Electronic total energy: -35.81 eV/f.u.
- Spin magnetization: 0.000 Bohr magnetons per cell
- E_form: 6.1 kcal/mol of atoms
- Offset from the most stable computed form: 0.83 eV/f.u.

13.
DFT (PBE) results for an optimized crystal structure of Dy16Y6Tm7.

Cell: 11.0399 11.0399 11.0399 Å, 60.00 60.00 60.00°
Sites, in units of the cell vectors:
Dy  0.0399  0.6534  0.6534
Dy  0.1215  0.1215  0.1215
Dy  0.1215  0.1215  0.6354
Dy  0.1215  0.6354  0.1215
Dy  0.3466  0.3466  0.3466
Dy  0.3466  0.3466  0.9601
Dy  0.3466  0.9601  0.3466
Dy  0.3646  0.8785  0.8785
Dy  0.6354  0.1215  0.1215
Dy  0.6534  0.0399  0.6534
Dy  0.6534  0.6534  0.0399
Dy  0.6534  0.6534  0.6534
Dy  0.8785  0.3646  0.8785
Dy  0.8785  0.8785  0.3646
Dy  0.8785  0.8785  0.8785
Dy  0.9601  0.3466  0.3466
Y  0.2841  0.2841  0.7159
Y  0.2841  0.7159  0.2841
Y  0.2841  0.7159  0.7159
Y  0.7159  0.2841  0.2841
Y  0.7159  0.2841  0.7159
Y  0.7159  0.7159  0.2841
Tm  0.0000  0.0000  0.0000
Tm  0.0000  0.0000  0.5000
Tm  0.0000  0.5000  0.0000
Tm  0.0000  0.5000  0.5000
Tm  0.5000  0.0000  0.0000
Tm  0.5000  0.0000  0.5000
Tm  0.5000  0.5000  0.0000

- Electronic total energy: -137.30 eV/f.u.
- Spin magnetization: 2.569 Bohr magnetons per cell
- E_form: 5.1 kcal/mol of atoms

14.
DFT (PBE) results for an optimized crystal structure of Dy2Y7Tm.

Cell: 10.1050 10.1050 3.5315 Å, 90.00 90.00 108.27°
Sites, in units of the cell vectors:
Dy  0.1682  0.8318  0.0000
Dy  0.8318  0.1682  0.0000
Y  0.1269  0.3871  0.0000
Y  0.3238  0.6762  0.5000
Y  0.3871  0.1269  0.0000
Y  0.5000  0.5000  0.0000
Y  0.6129  0.8731  0.0000
Y  0.6762  0.3238  0.5000
Y  0.8731  0.6129  0.0000
Tm  0.0000  0.0000  0.5000

- Electronic total energy: -54.56 eV/f.u.
- Spin magnetization: 0.000 Bohr magnetons per cell
- E_form: 10.1 kcal/mol of atoms
- Offset from the most stable computed form: 0.00 eV/f.u.

15.
DFT (PBE) results for an optimized crystal structure of Dy11Y4Tm9.

Cell: 14.6221 14.6221 3.5046 Å, 90.00 90.00 91.43°
Sites, in units of the cell vectors:
Dy  0.0000  0.0000  0.0000
Dy  0.0773  0.4141  0.0000
Dy  0.1707  0.8293  0.0000
Dy  0.2391  0.2391  0.0000
Dy  0.3439  0.6561  0.0000
Dy  0.4141  0.0773  0.0000
Dy  0.5859  0.9227  0.0000
Dy  0.6561  0.3439  0.0000
Dy  0.7609  0.7609  0.0000
Dy  0.8293  0.1707  0.0000
Dy  0.9227  0.5859  0.0000
Y  0.2781  0.4466  0.5000
Y  0.4466  0.2781  0.5000
Y  0.5534  0.7219  0.5000
Y  0.7219  0.5534  0.5000
Tm  0.0347  0.2058  0.5000
Tm  0.1304  0.6229  0.5000
Tm  0.2058  0.0347  0.5000
Tm  0.3771  0.8696  0.5000
Tm  0.5000  0.5000  0.5000
Tm  0.6229  0.1304  0.5000
Tm  0.7942  0.9653  0.5000
Tm  0.8696  0.3771  0.5000
Tm  0.9653  0.7942  0.5000

- Electronic total energy: -115.28 eV/f.u.
- Spin magnetization: 0.000 Bohr magnetons per cell
- E_form: 1.4 kcal/mol of atoms

16.
DFT (PBE) results for an optimized crystal structure of Dy3Y5Tm.

Cell: 9.7123 9.7123 7.0102 Å, 90.00 90.00 120.00°
Sites, in units of the cell vectors:
Dy  0.0000  0.3602  0.2500
Dy  0.0000  0.6398  0.7500
Dy  0.3602  0.0000  0.2500
Dy  0.3602  0.3602  0.7500
Dy  0.6398  0.0000  0.7500
Dy  0.6398  0.6398  0.2500
Y  0.0000  0.3037  0.7500
Y  0.0000  0.6963  0.2500
Y  0.3037  0.0000  0.7500
Y  0.3037  0.3037  0.2500
Y  0.3333  0.6667  0.0000
Y  0.3333  0.6667  0.5000
Y  0.6667  0.3333  0.0000
Y  0.6667  0.3333  0.5000
Y  0.6963  0.0000  0.2500
Y  0.6963  0.6963  0.7500
Tm  0.0000  0.0000  0.0000
Tm  0.0000  0.0000  0.5000

- Electronic total energy: -50.16 eV/f.u.
- Spin magnetization: 0.000 Bohr magnetons per cell
- E_form: 1.1 kcal/mol of atoms
- Offset from the most stable computed form: 0.00 eV/f.u.

17.
DFT (PBE) results for an optimized crystal structure of Dy2Y2Tm3.

Cell: 6.3868 10.8299 6.4707 Å, 90.00 93.42 90.00°
Sites, in units of the cell vectors:
Dy  0.0548  0.1505  0.4594
Dy  0.0548  0.3495  0.9594
Dy  0.9452  0.6505  0.0406
Dy  0.9452  0.8495  0.5406
Y  0.3791  0.7346  0.7447
Y  0.3791  0.7654  0.2447
Y  0.6209  0.2346  0.7553
Y  0.6209  0.2654  0.2553
Tm  0.2469  0.0440  0.9605
Tm  0.2469  0.4560  0.4605
Tm  0.5000  0.0000  0.5000
Tm  0.5000  0.5000  0.0000
Tm  0.7531  0.5440  0.5395
Tm  0.7531  0.9560  0.0395

- Electronic total energy: -34.08 eV/f.u.
- Spin magnetization: 0.000 Bohr magnetons per cell
- E_form: 4.8 kcal/mol of atoms
- Offset from the most stable computed form: 0.00 eV/f.u.

Short version: mass density = 6.750, 8.779, 6.057, 6.052, 7.601, 7.859, 6.901, 8.358, 7.263, 8.070, 6.583, 6.684, 7.533, 5.413, 8.121, 6.385, 7.505 g/cm3, in the order given.